Entry from Alexandria: a relaxed structure of MgMn2CdO4 (PBE+U).

a = 6.410 Å, b = 6.412 Å, c = 9.066 Å
α = 90.00°, β = 90.00°, γ = 90.00°
Space group Imma (No. 74)
One atom of each set of equivalent atoms:
Mg 0.250 0.250 0.250
Mn 0.000 0.000 0.000
Mn 0.250 0.250 0.750
Cd 0.000 0.000 0.500
O 0.000 0.009 0.244
O 0.236 0.250 0.006

Results
Total energy: -6.355 eV per atom